1.
A PBEsol-optimized structure of CaSn2S5. Source: the Alexandria database, functional meta-GGA SCAN.

Results
Formation energy from raw total energies, kJ/mol of formula units: -645.9
Excess energy over the best structure of this formula in the dataset, meV/atom: 8

```
CaSn2S5
1.0
6.853 -0.048 0.015
-1.926 6.827 -0.004
-2.066 -2.985 8.171
S Sn Ca
10 4 2
direct
0.665 0.092 0.907
0.952 0.352 0.618
0.381 0.253 0.528
0.901 0.098 0.256
0.335 0.908 0.093
0.099 0.902 0.744
0.709 0.648 0.948
0.619 0.747 0.472
0.048 0.648 0.382
0.291 0.352 0.052
0.000 0.000 0.500
0.308 0.671 0.241
0.000 0.000 0.000
0.692 0.329 0.759
0.369 0.675 0.701
0.631 0.325 0.299
```

=====

2.
A PBEsol-optimized structure of Ca3Sn2S7. Source: the Alexandria database, functional meta-GGA SCAN.

Results
Formation energy from raw total energies, kJ/mol of formula units: -1565.4

```
Ca3Sn2S7
1.0
-1.095 1.448 -3.355
-10.291 -3.937 1.658
-3.130 10.524 5.565
S Sn Ca
14 4 6
direct
0.500 0.703 0.928
0.000 0.141 0.786
0.500 0.922 0.678
0.500 0.078 0.322
0.500 0.297 0.072
0.000 0.859 0.214
0.000 0.359 0.286
0.500 0.422 0.822
0.500 0.578 0.178
0.500 0.797 0.428
0.500 0.500 0.500
0.500 0.000 0.000
0.000 0.641 0.714
0.500 0.203 0.572
0.500 0.286 0.393
0.500 0.786 0.107
0.500 0.214 0.893
0.500 0.714 0.607
0.000 0.000 0.500
0.000 0.615 0.348
0.000 0.885 0.848
0.000 0.385 0.652
0.000 0.500 0.000
0.000 0.115 0.152
```

=====

3.
A PBEsol-optimized structure of CaSn2S5. Source: the Alexandria database, functional meta-GGA SCAN.

Results
Formation energy from raw total energies, kJ/mol of formula units: -652.4
Excess energy over the best structure of this formula in the dataset, meV/atom: 0

```
CaSn2S5
1.0
7.379 0.000 0.000
0.000 9.348 0.000
0.000 0.000 10.617
Ca S Sn
4 20 8
direct
0.500 0.119 0.671
0.500 0.619 0.829
0.500 0.381 0.171
0.500 0.881 0.329
0.274 0.127 0.210
0.000 0.866 0.110
0.774 0.000 0.500
0.226 0.000 0.500
0.000 0.134 0.890
0.500 0.319 0.435
0.726 0.127 0.210
0.500 0.819 0.065
0.274 0.627 0.290
0.774 0.500 0.000
0.500 0.181 0.935
0.726 0.627 0.290
0.726 0.873 0.790
0.726 0.373 0.710
0.000 0.634 0.610
0.274 0.873 0.790
0.000 0.366 0.390
0.226 0.500 0.000
0.274 0.373 0.710
0.500 0.681 0.565
0.000 0.607 0.151
0.264 0.500 0.500
0.000 0.393 0.849
0.000 0.107 0.349
0.000 0.893 0.651
0.264 0.000 0.000
0.736 0.000 0.000
0.736 0.500 0.500
```

=====

4.
A PBEsol-optimized structure of SrCaZnS2. Source: the Alexandria database, functional meta-GGA SCAN.

Results
Formation energy from raw total energies, kJ/mol of formula units: 38.4
N(E_F), states/eV per cell: 3.2

```
SrCaZnS2
1.0
5.384 0.000 0.000
0.000 5.384 0.000
0.000 0.000 6.232
Ca Zn S Sr
1 1 2 1
direct
0.000 0.000 0.500
0.500 0.500 0.500
0.000 0.500 0.000
0.500 0.000 0.000
0.000 0.000 0.000
```

=====

5.
A PBEsol-optimized structure of CaTb2S4. Source: the Alexandria database, functional meta-GGA SCAN.

Results
Formation energy from raw total energies, kJ/mol of formula units: -1589.6
N(E_F), states/eV per cell: 0.0

```
CaTb2S4
1.0
7.158 0.001 0.000
-2.372 6.753 0.000
2.393 3.377 5.840
S Tb Ca
8 4 2
direct
0.131 0.232 0.251
0.268 0.018 0.601
0.131 0.732 0.249
0.768 0.518 0.101
0.482 0.381 0.749
0.619 0.869 0.399
0.982 0.381 0.751
0.619 0.869 0.899
0.875 0.753 0.622
0.375 0.497 0.378
0.503 0.125 0.122
0.247 0.625 0.878
0.000 0.000 0.000
0.750 0.250 0.500
```

=====

6.
A PBEsol-optimized structure of Ca3TlS. Source: the Alexandria database, functional meta-GGA SCAN.

Results
Formation energy from raw total energies, kJ/mol of formula units: -531.9
N(E_F), states/eV per cell: 3.9

```
Ca3TlS
1.0
5.300 0.000 0.000
0.000 5.300 0.000
0.000 0.000 5.300
Ca Tl S
3 1 1
direct
0.500 0.000 0.000
0.000 0.000 0.500
0.000 0.500 0.000
0.500 0.500 0.500
0.000 0.000 0.000
```

=====

7.
A PBEsol-optimized structure of CaYS2. Source: the Alexandria database, functional meta-GGA SCAN.

Results
Formation energy from raw total energies, kJ/mol of formula units: -740.9
N(E_F), states/eV per cell: 0.9
Excess energy over the best structure of this formula in the dataset, meV/atom: 0

```
CaYS2
1.0
-2.617 1.825 2.444
-1.285 -1.864 3.321
4.909 3.234 6.146
S Y Ca
2 1 1
direct
0.891 0.891 0.326
0.109 0.109 0.674
0.500 0.500 0.500
0.000 0.000 0.000
```

=====

8.
A PBEsol-optimized structure of CaY2S4. Source: the Alexandria database, functional meta-GGA SCAN.

Results
Formation energy from raw total energies, kJ/mol of formula units: -1636.7
N(E_F), states/eV per cell: 0.0

```
CaY2S4
1.0
3.856 0.000 0.000
0.000 12.825 0.000
0.000 0.000 12.963
S Ca Y
16 4 8
direct
0.250 0.757 0.475
0.250 0.472 0.617
0.750 0.743 0.975
0.750 0.243 0.525
0.750 0.028 0.117
0.750 0.528 0.383
0.750 0.965 0.617
0.250 0.972 0.883
0.250 0.035 0.383
0.250 0.257 0.025
0.250 0.718 0.735
0.750 0.782 0.235
0.250 0.535 0.117
0.750 0.465 0.883
0.250 0.218 0.765
0.750 0.282 0.265
0.750 0.131 0.918
0.750 0.631 0.582
0.250 0.369 0.418
0.250 0.869 0.082
0.250 0.107 0.585
0.250 0.146 0.202
0.750 0.893 0.415
0.750 0.393 0.085
0.750 0.854 0.798
0.250 0.607 0.915
0.250 0.646 0.298
0.750 0.354 0.702
```

=====

9.
A PBEsol-optimized structure of CaYS3. Source: the Alexandria database, functional meta-GGA SCAN.

Results
Formation energy from raw total energies, kJ/mol of formula units: -731.0
N(E_F), states/eV per cell: 4.4

```
CaYS3
1.0
5.127 0.000 0.000
0.000 5.127 0.000
0.000 0.000 5.127
S Ca Y
3 1 1
direct
0.000 0.000 0.500
0.500 0.000 0.000
0.000 0.500 0.000
0.500 0.500 0.500
0.000 0.000 0.000
```

=====

10.
A PBEsol-optimized structure of CaYS2. Source: the Alexandria database, functional meta-GGA SCAN.

Results
Formation energy from raw total energies, kJ/mol of formula units: -622.0
N(E_F), states/eV per cell: 1.0
Excess energy over the best structure of this formula in the dataset, meV/atom: 308

```
CaYS2
1.0
-1.618 -1.652 -3.427
-1.932 -3.650 0.178
-8.041 1.934 0.370
S Y Ca
2 1 1
direct
0.895 0.895 0.315
0.105 0.105 0.685
0.000 0.000 0.000
0.500 0.500 0.500
```

=====

11.
A PBEsol-optimized structure of Ca3ZnS. Source: the Alexandria database, functional meta-GGA SCAN.

Results
Formation energy from raw total energies, kJ/mol of formula units: -387.5
N(E_F), states/eV per cell: 3.6
Excess energy over the best structure of this formula in the dataset, meV/atom: 0

```
Ca3ZnS
1.0
-3.655 -2.186 3.160
2.305 -4.737 -0.611
3.074 0.953 4.215
Ca S Zn
3 1 1
direct
0.000 0.500 0.000
0.000 0.000 0.500
0.500 0.000 0.000
0.000 0.000 0.000
0.500 0.500 0.500
```

=====

12.
A PBEsol-optimized structure of CaZrS2. Source: the Alexandria database, functional meta-GGA SCAN.

Results
Formation energy from raw total energies, kJ/mol of formula units: -514.3
N(E_F), states/eV per cell: 1.2

```
CaZrS2
1.0
3.859 0.000 0.000
1.930 3.342 0.000
1.930 1.114 7.946
S Ca Zr
2 1 1
direct
0.100 0.100 0.700
0.900 0.900 0.300
0.500 0.500 0.500
0.000 0.000 0.000
```

=====

13.
A PBEsol-optimized structure of CaSb3. Source: the Alexandria database, functional meta-GGA SCAN.

Results
Formation energy from raw total energies, kJ/mol of formula units: -97.6
N(E_F), states/eV per cell: 1.5

```
CaSb3
1.0
-3.017 -2.267 -2.931
4.542 -1.445 0.337
-1.623 -3.993 4.760
Sb Ca
3 1
direct
0.333 0.667 0.254
0.333 0.667 0.746
0.000 0.000 0.500
0.000 0.000 0.000
```

=====

14.
A PBEsol-optimized structure of Ca5Sb3. Source: the Alexandria database, functional meta-GGA SCAN.

Results
Formation energy from raw total energies, kJ/mol of formula units: -835.6
N(E_F), states/eV per cell: 1.3
Excess energy over the best structure of this formula in the dataset, meV/atom: 7

```
Ca5Sb3
1.0
6.841 0.000 0.000
0.000 8.978 0.000
0.000 -4.489 7.775
Ca Sb
10 6
direct
0.750 0.252 0.252
0.250 0.252 0.000
0.500 0.333 0.667
0.250 0.000 0.252
0.000 0.333 0.667
0.250 0.748 0.748
0.750 0.748 0.000
0.500 0.667 0.333
0.000 0.667 0.333
0.750 0.000 0.748
0.750 0.000 0.390
0.250 0.610 0.000
0.750 0.610 0.610
0.250 0.390 0.390
0.750 0.390 0.000
0.250 0.000 0.610
```

=====

15.
A PBEsol-optimized structure of Ca2Sb. Source: the Alexandria database, functional meta-GGA SCAN.

Results
Formation energy from raw total energies, kJ/mol of formula units: -280.3
N(E_F), states/eV per cell: 1.8

```
Ca2Sb
1.0
4.704 0.000 0.000
0.000 4.704 0.000
-2.352 -2.352 8.286
Ca Sb
4 2
direct
0.000 0.500 0.000
0.675 0.675 0.351
0.325 0.325 0.649
0.500 0.000 0.000
0.136 0.136 0.271
0.864 0.864 0.729
```

=====

16.
A PBEsol-optimized structure of CaSb4. Source: the Alexandria database, functional meta-GGA SCAN.

Results
Formation energy from raw total energies, kJ/mol of formula units: -6.5
N(E_F), states/eV per cell: 2.5

```
CaSb4
1.0
-4.332 3.891 0.767
-1.193 -3.363 -4.665
0.467 -3.379 4.782
Sb Ca
4 1
direct
0.500 0.000 0.000
0.000 0.500 0.000
0.000 0.000 0.500
0.500 0.500 0.500
0.000 0.000 0.000
```

=====

17.
A PBEsol-optimized structure of Ca11Sb10. Source: the Alexandria database, functional meta-GGA SCAN.

Results
Formation energy from raw total energies, kJ/mol of formula units: -2100.6
N(E_F), states/eV per cell: 14.4

```
Ca11Sb10
1.0
-6.572 4.853 8.609
1.228 -11.916 -0.526
6.556 -5.595 8.159
Sb Ca
20 22
direct
0.000 0.000 0.349
0.627 0.000 0.373
0.651 0.000 0.000
0.469 0.351 0.118
0.531 0.649 0.882
0.373 0.000 0.373
0.250 0.500 0.250
0.750 0.500 0.750
0.118 0.649 0.469
0.882 0.351 0.531
0.627 0.000 0.627
0.118 0.649 0.882
0.126 0.252 0.874
0.531 0.649 0.469
0.469 0.351 0.531
0.874 0.748 0.126
0.000 0.000 0.651
0.373 0.000 0.627
0.882 0.351 0.118
0.349 0.000 0.000
0.811 0.622 0.440
0.603 0.206 0.058
0.265 0.206 0.397
0.942 0.206 0.397
0.834 0.000 0.834
0.058 0.794 0.603
0.166 0.000 0.166
0.189 0.378 0.560
0.336 0.672 0.664
0.166 0.000 0.834
0.664 0.328 0.336
0.189 0.378 0.063
0.811 0.622 0.937
0.834 0.000 0.166
0.603 0.206 0.735
0.440 0.378 0.811
0.397 0.794 0.265
0.063 0.622 0.189
0.735 0.794 0.603
0.397 0.794 0.942
0.560 0.622 0.189
0.937 0.378 0.811
```

=====

18.
A PBEsol-optimized structure of CaSb3. Source: the Alexandria database, functional meta-GGA SCAN.

Results
Formation energy from raw total energies, kJ/mol of formula units: -160.2
N(E_F), states/eV per cell: 1.8

```
CaSb3
1.0
-2.262 -2.594 -2.027
4.141 -2.827 -1.002
-1.743 -0.025 5.913
Sb Ca
3 1
direct
0.500 0.500 0.000
0.772 0.272 0.545
0.228 0.728 0.455
0.000 0.000 0.000
```

=====

19.
A PBEsol-optimized structure of Ca2Sb. Source: the Alexandria database, functional meta-GGA SCAN.

Results
Formation energy from raw total energies, kJ/mol of formula units: -198.3
N(E_F), states/eV per cell: 1.1

```
Ca2Sb
1.0
4.586 0.000 0.000
-2.293 3.971 0.000
0.000 0.000 6.701
Sb Ca
1 2
direct
0.000 0.000 0.000
0.333 0.667 0.231
0.667 0.333 0.769
```

=====

20.
A PBEsol-optimized structure of Ca5Sb3. Source: the Alexandria database, functional meta-GGA SCAN.

Results
Formation energy from raw total energies, kJ/mol of formula units: -841.0
Excess energy over the best structure of this formula in the dataset, meV/atom: 0

```
Ca5Sb3
1.0
8.192 0.000 0.000
0.000 9.477 0.000
0.000 0.000 12.417
Ca Sb
20 12
direct
0.035 0.750 0.504
0.965 0.250 0.496
0.681 0.250 0.272
0.307 0.042 0.424
0.535 0.250 0.996
0.693 0.958 0.576
0.693 0.542 0.576
0.807 0.542 0.076
0.846 0.750 0.792
0.193 0.458 0.924
0.319 0.750 0.728
0.181 0.750 0.228
0.807 0.958 0.076
0.465 0.750 0.004
0.193 0.042 0.924
0.654 0.750 0.292
0.819 0.250 0.772
0.307 0.458 0.424
0.154 0.250 0.208
0.346 0.250 0.708
0.922 0.250 0.016
0.437 0.012 0.171
0.578 0.250 0.516
0.937 0.512 0.329
0.078 0.750 0.984
0.937 0.988 0.329
0.063 0.488 0.671
0.437 0.488 0.171
0.563 0.512 0.829
0.063 0.012 0.671
0.563 0.988 0.829
0.422 0.750 0.484
```